# 1
VASP calculation (PBE) on crystalline Dy3Ho2Co2 at its relaxed geometry.

Cell and atoms, written as POSCAR:
```
Dy3Ho2Co2
1.0
5.951 -1.831 0.000
5.951 1.831 0.000
-3.878 0.000 7.901
Dy Ho Co
3 2 2
Direct
0.000 0.000 0.000
0.117 0.117 0.427
0.883 0.883 0.573
0.328 0.328 0.195
0.672 0.672 0.805
0.321 0.321 0.759
0.679 0.679 0.241
```

Energy of formation from the pure elements (eV per atom): -0.17
Calculated volume (Å³/atom): 24.59

# 2
VASP calculation (PBE) on crystalline BeFePtW2 at its relaxed geometry.

Cell and atoms, written as POSCAR:
```
BeFePtW2
1.0
4.168 0.000 0.000
0.000 4.168 0.000
0.000 0.000 4.078
Be Fe Pt W
1 1 1 2
Direct
0.000 0.000 0.000
0.500 0.500 0.500
0.000 0.000 0.500
0.000 0.500 0.000
0.500 0.000 0.000
```

Energy of formation from the pure elements (eV per atom): 0.76
Calculated volume (Å³/atom): 14.17

# 3
VASP calculation (PBE) on crystalline EuInP2 at its relaxed geometry.

Cell and atoms, written as POSCAR:
```
EuInP2
1.0
2.053 1.186 6.343
-2.053 1.186 6.343
0.000 -2.371 6.343
Eu In P
1 1 2
Direct
0.000 0.000 0.000
0.500 0.500 0.500
0.244 0.244 0.244
0.756 0.756 0.756
```

Energy of formation from the pure elements (eV per atom): -0.48
Calculated volume (Å³/atom): 23.17